Entry from Alexandria via LeMat-Bulk: a relaxed MgTcAu2 crystal (PBE).

## Properties
Crystal system: tetragonal
Formation energy in meV per atom: 24.4

```
data_MgTcAu2
_cell_length_a 4.756
_cell_length_b 4.756
_cell_length_c 3.024
_cell_angle_alpha 90.00
_cell_angle_beta 90.00
_cell_angle_gamma 90.00
_symmetry_space_group_name_H-M 'P 4/m m m'
_symmetry_Int_Tables_number 123
_symmetry_space_group_name_Hall '-P 4 2'
loop_
_atom_site_label
_atom_site_fract_x
_atom_site_fract_y
_atom_site_fract_z
Mg1 0.000 0.000 0.000
Tc1 0.500 0.500 0.000
Au1 0.000 0.500 0.500
```